VASP calculation (PBE) on KPr2Rh after structural relaxation.

Output
**Calculated total energy**: -4.7483 eV per atom
**Calculated formation energy**: -0.25 eV per atom

a b c (Å): 4.1956 4.1956 34.0649
angles (deg): 90.00 90.00 120.00
Space group R-3m (No. 166, hexagonal axes)
Unique sites:
K  0.0000  0.0000  0.0000 [3 per cell]
Pr  0.0000  0.0000  0.1226 [6 per cell]
Rh  0.0000  0.0000  0.5000 [3 per cell]


VASP calculation (PBE) on EuErCdPt after structural relaxation.

Output
**Calculated total energy**: -6.0777 eV per atom
**Calculated formation energy**: -0.63 eV per atom

a b c (Å): 7.281 7.281 7.281
angles (deg): 90.00 90.00 90.00
Space group F-43m (No. 216)
Unique sites:
Eu  0.000  0.000  0.000 [4 per cell]
Er  0.000  0.000  0.500 [4 per cell]
Cd  0.250  0.250  0.750 [4 per cell]
Pt  0.250  0.250  0.250 [4 per cell]


VASP calculation (PBE) on LiZrPb after structural relaxation.

Output
**Calculated total energy**: -4.6790 eV per atom
**Calculated formation energy**: 0.04 eV per atom

a b c (Å): 3.305 3.305 24.553
angles (deg): 90.00 90.00 90.00
Space group I4/mmm (No. 139)
Unique sites:
Li  0.000  0.000  0.217 [4 per cell]
Zr  0.000  0.000  0.061 [4 per cell]
Pb  0.000  0.000  0.351 [4 per cell]


VASP calculation (PBE) on CaZn2Ga4Rh after structural relaxation.

Output
**Calculated total energy**: -3.3046 eV per atom
**Calculated formation energy**: -0.30 eV per atom

a b c (Å): 4.2901 4.2901 27.5578
angles (deg): 90.00 90.00 120.00
Space group R-3m (No. 166, hexagonal axes)
Unique sites:
Ca  0.0000  0.0000  0.0000 [3 per cell]
Zn  0.0000  0.0000  0.2478 [6 per cell]
Ga  0.0000  0.0000  0.1343 [6 per cell]
Ga  0.0000  0.0000  0.4030 [6 per cell]
Rh  0.0000  0.0000  0.5000 [3 per cell]


VASP calculation (PBE) on BeAl2Se after structural relaxation.

Output
**Calculated total energy**: -3.2232 eV per atom
**Distance to the lowest polymorph of the same formula**: 404 meV per atom
**E_form (uncorrected)**: 0.45 eV/atom

a b c (Å): 6.418 6.418 6.418
angles (deg): 90.00 90.00 90.00
Space group Fm-3m (No. 225)
Unique sites:
Be  0.000  0.000  0.000 [4 per cell]
Al  0.250  0.250  0.250 [8 per cell]
Se  0.000  0.000  0.500 [4 per cell]


VASP calculation (PBE) on VI2BrN after structural relaxation.

Output
**Calculated total energy**: -4.2418 eV per atom
**Distance to the lowest polymorph of the same formula**: 0 meV per atom
**E_form (uncorrected)**: 0.20 eV/atom

a b c (Å): 5.652 5.652 3.675
angles (deg): 90.00 90.00 90.00
Space group P4/mmm (No. 123)
Unique sites:
V  0.000  0.000  0.000 [1 per cell]
I  0.000  0.500  0.000 [2 per cell]
Br  0.500  0.500  0.500 [1 per cell]
N  0.000  0.000  0.500 [1 per cell]


VASP calculation (PBE) on AcCu4Sb3O12 after structural relaxation.

Output
**Calculated total energy**: -5.9384 eV per atom
**E_form (uncorrected)**: -1.32 eV/atom

a b c (Å): 10.9895 10.9895 7.8147
angles (deg): 90.00 90.00 120.00
Space group R32 (No. 155, hexagonal axes)
Unique sites:
Ac  0.0000  0.0000  0.0000 [3 per cell]
Cu  0.0000  0.0000  0.5000 [3 per cell]
Cu  0.0000  0.3957  0.5000 [9 per cell]
Sb  0.0000  0.5730  0.0000 [9 per cell]
O  0.0000  0.5918  0.5000 [9 per cell]
O  0.0000  0.8265  0.5000 [9 per cell]
O  0.0629  0.2080  0.2054 [18 per cell]


VASP calculation (PBE) on BeZn6Pd12 after structural relaxation.

Output
**Calculated total energy**: -4.2332 eV per atom
**Calculated formation energy**: -0.36 eV per atom

a b c (Å): 9.4312 9.4312 11.0934
angles (deg): 90.00 90.00 120.00
Space group R-3 (No. 148, hexagonal axes)
Unique sites:
Be  0.0000  0.0000  0.0000 [3 per cell]
Zn  0.0168  0.5982  0.7178 [18 per cell]
Pd  0.0312  0.8480  0.8407 [18 per cell]
Pd  0.0488  0.2020  0.4021 [18 per cell]


VASP calculation (PBE) on BiBPt3 after structural relaxation.

Output
**Calculated total energy**: -5.7773 eV per atom
**Distance to the lowest polymorph of the same formula**: 177 meV per atom
**Calculated formation energy**: -0.04 eV per atom

a b c (Å): 5.733 10.874 5.379
angles (deg): 90.00 90.00 90.00
Space group Cmcm (No. 63)
Unique sites:
Bi  0.000  0.077  0.250 [4 per cell]
B  0.000  0.337  0.750 [4 per cell]
Pt  0.000  0.500  0.000 [4 per cell]
Pt  0.249  0.299  0.250 [8 per cell]


VASP calculation (PBE) on CdPPbO4 after structural relaxation.

Output
**Calculated total energy**: -5.8305 eV per atom
**E_form (uncorrected)**: -1.56 eV/atom

a b c (Å): 6.168 6.168 6.387
angles (deg): 90.00 90.00 90.00
Space group I-4 (No. 82)
Unique sites:
Cd  0.000  0.000  0.000 [2 per cell]
P  0.000  0.500  0.750 [2 per cell]
Pb  0.000  0.000  0.500 [2 per cell]
O  0.133  0.661  0.889 [8 per cell]


VASP calculation (PBE) on CoSnGeCl2 after structural relaxation.

Output
**Calculated total energy**: -3.2736 eV per atom
**E_form (uncorrected)**: 0.61 eV/atom

a b c (Å): 5.172 5.172 5.698
angles (deg): 90.00 90.00 90.00
Space group P4/mmm (No. 123)
Unique sites:
Co  0.000  0.000  0.000 [1 per cell]
Sn  0.500  0.500  0.500 [1 per cell]
Ge  0.500  0.500  0.000 [1 per cell]
Cl  0.000  0.500  0.500 [2 per cell]


VASP calculation (PBE) on LaP2Ir after structural relaxation.

Output
**Calculated total energy**: -7.1387 eV per atom
**Calculated formation energy**: -0.99 eV per atom

a b c (Å): 3.8998 3.8998 17.7422
angles (deg): 90.00 90.00 120.00
Space group R3m (No. 160, hexagonal axes)
Unique sites:
La  0.0000  0.0000  0.0000 [3 per cell]
P  0.0000  0.0000  0.5652 [3 per cell]
P  0.0000  0.0000  0.7875 [3 per cell]
Ir  0.0000  0.0000  0.1833 [3 per cell]


VASP calculation (PBE) on Li4SmHo3Te8 after structural relaxation.

Output
**Calculated total energy**: -4.4907 eV per atom
**E_form (uncorrected)**: -1.29 eV/atom

a b c (Å): 8.7015 8.7015 21.1856
angles (deg): 90.00 90.00 120.00
Space group R-3m (No. 166, hexagonal axes)
Unique sites:
Li  0.0000  0.0000  0.0000 [3 per cell]
Li  0.0000  0.5000  0.0000 [9 per cell]
Sm  0.0000  0.0000  0.5000 [3 per cell]
Ho  0.0000  0.5000  0.5000 [9 per cell]
Te  0.0000  0.0000  0.2512 [6 per cell]
Te  0.0051  0.5025  0.7479 [18 per cell]


VASP calculation (PBE) on DyCuHg5 after structural relaxation.

Output
**Calculated total energy**: -1.6241 eV per atom
**Calculated formation energy**: -0.17 eV per atom

a b c (Å): 4.736 4.736 7.263
angles (deg): 90.00 90.00 90.00
Space group P4/mmm (No. 123)
Unique sites:
Dy  0.000  0.000  0.000 [1 per cell]
Cu  0.000  0.000  0.500 [1 per cell]
Hg  0.000  0.500  0.295 [4 per cell]
Hg  0.500  0.500  0.000 [1 per cell]


VASP calculation (PBE) on PaTe2Cl2 after structural relaxation.

Output
**Calculated total energy**: -5.1162 eV per atom
**E_form (uncorrected)**: -1.22 eV/atom

a b c (Å): 6.978 13.474 7.459
angles (deg): 90.00 114.03 90.00
Space group C2/m (No. 12)
Unique sites:
Pa  0.000  0.145  0.000 [4 per cell]
Te  0.117  0.500  0.863 [4 per cell]
Te  0.126  0.000  0.362 [4 per cell]
Cl  0.209  0.220  0.773 [8 per cell]


VASP calculation (PBE) on LaSi2Pt after structural relaxation.

Output
**Calculated total energy**: -6.2953 eV per atom
**E_form (uncorrected)**: -0.84 eV/atom

a b c (Å): 7.090 4.079 6.242
angles (deg): 90.00 112.16 90.00
Space group Cm (No. 8)
Unique sites:
La  0.000  0.000  0.000 [2 per cell]
Si  0.202  0.000  0.612 [2 per cell]
Si  0.445  0.000  0.334 [2 per cell]
Pt  0.313  0.500  0.441 [2 per cell]


VASP calculation (PBE) on Np2HgBr8 after structural relaxation.

Output
**Calculated total energy**: -4.6705 eV per atom
**E_form (uncorrected)**: -1.07 eV/atom

a b c (Å): 13.676 8.506 9.014
angles (deg): 90.00 105.14 90.00
Space group C2/m (No. 12)
Unique sites:
Np  0.249  0.000  0.498 [4 per cell]
Hg  0.000  0.000  0.000 [2 per cell]
Br  0.113  0.253  0.377 [8 per cell]
Br  0.183  0.000  0.751 [4 per cell]
Br  0.184  0.500  0.754 [4 per cell]


VASP calculation (PBE) on AcAs2PtRh2 after structural relaxation.

Output
**Calculated total energy**: -6.2969 eV per atom
**Calculated formation energy**: -0.60 eV per atom

a b c (Å): 5.257 11.890 4.277
angles (deg): 90.00 90.00 90.00
Space group Pnnm (No. 58)
Unique sites:
Ac  0.000  0.000  0.000 [2 per cell]
As  0.144  0.305  0.000 [4 per cell]
Pt  0.000  0.500  0.000 [2 per cell]
Rh  0.054  0.659  0.500 [4 per cell]


VASP calculation (PBE) on Ac2HfFeS6 after structural relaxation.

Output
**Calculated total energy**: -6.6067 eV per atom
**E_form (uncorrected)**: -1.47 eV/atom

a b c (Å): 6.669 9.451 6.724
angles (deg): 90.00 90.00 90.00
Space group Pmmn (No. 59, origin choice 2)
Unique sites:
Ac  0.250  0.002  0.234 [4 per cell]
Hf  0.250  0.250  0.738 [2 per cell]
Fe  0.250  0.750  0.752 [2 per cell]
S  0.008  0.750  0.990 [4 per cell]
S  0.014  0.750  0.513 [4 per cell]
S  0.250  0.511  0.763 [4 per cell]


VASP calculation (PBE) on Tl2BN after structural relaxation.

Output
**Calculated total energy**: -3.7067 eV per atom
**Distance to the lowest polymorph of the same formula**: 0 meV per atom
**E_form (uncorrected)**: 1.23 eV/atom

a b c (Å): 5.532 5.532 10.227
angles (deg): 90.00 90.00 90.00
Space group I-42d (No. 122)
Unique sites:
Tl  0.240  0.250  0.125 [8 per cell]
B  0.000  0.000  0.500 [4 per cell]
N  0.000  0.000  0.000 [4 per cell]